DFT (PBE with a Hubbard U) results for an optimized crystal structure of ErTmWO6. Values from VASP.

Cell and atoms, written as Quantum ESPRESSO input:
```
&SYSTEM
  ibrav = 0, nat = 18, ntyp = 4
/
ATOMIC_SPECIES
Er 167.26 Er.upf
Tm 168.93 Tm.upf
W 183.84 W.upf
O 16.00 O.upf
CELL_PARAMETERS angstrom
5.481 0.000 0.000
-2.741 4.747 0.000
0.000 0.000 9.353
ATOMIC_POSITIONS angstrom
Er 0.000 3.165 2.338
Er 2.741 1.582 7.014
Tm 0.000 0.000 0.000
Tm 0.000 0.000 4.676
W 0.000 3.165 7.014
W 2.741 1.582 2.338
O -0.787 1.736 5.929
O -1.631 3.197 8.100
O 0.787 1.736 8.100
O -0.844 4.561 5.929
O 1.897 0.186 1.253
O 1.109 1.550 3.423
O 1.631 3.197 5.929
O 0.844 4.561 8.100
O 3.585 0.186 3.423
O 1.953 3.011 1.253
O 4.372 1.550 1.253
O 3.528 3.011 3.423
```

## Properties
- magnetic moment (μB per atom) = 0.00
- total energy (eV per atom) = -8.047
- symmetry = P-31c